HgTeCl2, optimized geometry, DFT PBE; raw formation energy = 0.103 eV per atom; spin magnetization = 0.00 μB/atom; distance to the lowest polymorph of the same formula = 0.433 eV per atom; calculated density = 6.8 g/cm³; uncorrected energy = -1.681 eV/atom; DOS(E_F) = 0.5256 states/eV/atom; symmetry = Pmmm
1.0
-3.0463 -0.2088 -1.2955
1.1579 -3.8393 -2.1040
-1.9527 -3.4063 5.1410
Te Hg Cl
1 1 2
Cartesian
-2.4088 -4.5788 2.1560
-1.4324 -2.8756 -0.4145
-1.9229 -3.3543 5.0625
-1.0062 -1.7551 2.6489